# 1
Compound: LiZrAl3
Source: Alexandria
Functional: GGA-PBE
Structure: optimized geometry

Cell: 4.4101 4.4101 4.4101 Å, 90.00 90.00 90.00°
Sites, in units of the cell vectors:
Al  0.0000  0.0000  0.5000
Al  0.0000  0.5000  0.0000
Al  0.5000  0.0000  0.0000
Zr  0.5000  0.5000  0.5000
Li  0.0000  0.0000  0.0000

Values from the calculation:
The density of states at the Fermi level is 3.0 states/eV per cell. The raw total energy is -4.091 eV/atom. Its energy above the lowest structure with this stoichiometry is 0 kJ/mol of formula units. The energy of formation from the pure elements comes out at 1.237 eV per formula unit. The magnetization comes out at 0.00 μB per formula unit.


# 2
Compound: Li4ZrAl
Source: Alexandria
Functional: GGA-PBE
Structure: optimized geometry

Cell: 5.2049 5.2049 5.2049 Å, 60.00 60.00 60.00°
Sites, in units of the cell vectors:
Al  0.0000  0.0000  0.0000
Li  0.3741  0.3741  0.3741
Li  0.3741  0.8776  0.3741
Li  0.8776  0.3741  0.3741
Li  0.3741  0.3741  0.8776
Zr  0.7500  0.7500  0.7500

Values from the calculation:
The density of states at the Fermi level is 4.4 states/eV per cell. The raw total energy is -3.201 eV/atom. The energy of formation from the pure elements comes out at 0.737 eV per formula unit. The magnetization comes out at 0.40 μB per formula unit.


# 3
Compound: LiZrAl
Source: Alexandria
Functional: GGA-PBE
Structure: optimized geometry

Cell: 3.1732 8.1769 4.4003 Å, 90.00 90.00 90.00°
Sites, in units of the cell vectors:
Al  0.0000  0.2512  0.0000
Al  0.5000  0.7488  0.5000
Zr  0.5000  0.1118  0.5000
Zr  0.0000  0.8882  0.0000
Li  0.5000  0.5379  0.0000
Li  0.0000  0.4621  0.5000

Values from the calculation:
The density of states at the Fermi level is 5.3 states/eV per cell. The raw total energy is -4.941 eV/atom. Its energy above the lowest structure with this stoichiometry is 4 kJ/mol of formula units. The energy of formation from the pure elements comes out at -0.617 eV per formula unit. The magnetization comes out at 0.00 μB per formula unit.


# 4
Compound: LiZrAl
Source: Alexandria
Functional: GGA-PBE
Structure: optimized geometry

Cell: 9.2507 4.2748 2.9098 Å, 90.00 83.09 90.00°
Sites, in units of the cell vectors:
Al  0.0740  0.5000  0.3961
Al  0.4027  0.5000  0.2850
Zr  0.9108  0.0000  0.9534
Zr  0.2432  0.0000  0.8333
Li  0.7094  0.5000  0.4969
Li  0.5611  0.0000  0.8608

Values from the calculation:
The density of states at the Fermi level is 3.5 states/eV per cell. The raw total energy is -4.889 eV/atom. Its energy above the lowest structure with this stoichiometry is 19 kJ/mol of formula units. The energy of formation from the pure elements comes out at -0.462 eV per formula unit. The magnetization comes out at 0.00 μB per formula unit.


# 5
Compound: LiZrAl
Source: Alexandria
Functional: GGA-PBE
Structure: optimized geometry

Cell: 2.9395 8.1123 5.0329 Å, 108.06 90.00 90.00°
Sites, in units of the cell vectors:
Al  0.6882  0.3561  0.7968
Al  0.6880  0.9443  0.0914
Zr  0.1879  0.0161  0.6293
Zr  0.1883  0.2843  0.2629
Li  0.1879  0.6502  0.0900
Li  0.6876  0.6502  0.5820

Values from the calculation:
The density of states at the Fermi level is 4.0 states/eV per cell. The raw total energy is -4.939 eV/atom. Its energy above the lowest structure with this stoichiometry is 4 kJ/mol of formula units. The energy of formation from the pure elements comes out at -0.614 eV per formula unit. The magnetization comes out at 0.00 μB per formula unit.


# 6
Compound: LiZrAl
Source: Alexandria
Functional: GGA-PBE
Structure: optimized geometry

Cell: 3.3516 7.4054 7.4054 Å, 143.22 90.00 90.00°
Sites, in units of the cell vectors:
Al  0.5000  0.0199  0.9801
Al  0.5000  0.6773  0.3227
Zr  0.0000  0.8472  0.1528
Zr  0.0000  0.5077  0.4923
Li  0.5000  0.3216  0.6784
Li  0.0000  0.1757  0.8243

Values from the calculation:
The density of states at the Fermi level is 5.7 states/eV per cell. The raw total energy is -4.900 eV/atom. Its energy above the lowest structure with this stoichiometry is 16 kJ/mol of formula units. The energy of formation from the pure elements comes out at -0.496 eV per formula unit. The magnetization comes out at 0.00 μB per formula unit.


# 7
Compound: LiZrAl
Source: Alexandria
Functional: GGA-PBE
Structure: optimized geometry

Cell: 4.6366 4.6366 5.9585 Å, 90.00 90.00 120.00°
Sites, in units of the cell vectors:
Zr  0.0000  0.0000  0.0748
Zr  0.6667  0.3333  0.7452
Al  0.6667  0.3333  0.2603
Al  0.3333  0.6667  0.8971
Li  0.3333  0.6667  0.4052
Li  0.0000  0.0000  0.5602

Values from the calculation:
The density of states at the Fermi level is 3.1 states/eV per cell. The raw total energy is -4.901 eV/atom. Its energy above the lowest structure with this stoichiometry is 15 kJ/mol of formula units. The energy of formation from the pure elements comes out at -0.500 eV per formula unit. The magnetization comes out at 0.00 μB per formula unit.


# 8
Compound: LiZrAl
Source: Alexandria
Functional: GGA-PBE
Structure: optimized geometry

Cell: 5.0175 2.9523 7.8054 Å, 90.00 99.36 90.00°
Sites, in units of the cell vectors:
Li  0.5000  0.0000  0.5000
Li  0.0000  0.5000  0.5000
Al  0.7959  0.0000  0.2061
Al  0.2041  0.0000  0.7939
Zr  0.2788  0.5000  0.1342
Zr  0.7212  0.5000  0.8658

Values from the calculation:
The density of states at the Fermi level is 4.2 states/eV per cell. The raw total energy is -4.940 eV/atom. Its energy above the lowest structure with this stoichiometry is 4 kJ/mol of formula units. The energy of formation from the pure elements comes out at -0.615 eV per formula unit. The magnetization comes out at 0.00 μB per formula unit.


# 9
Compound: LiZrAl
Source: Alexandria
Functional: GGA-PBE
Structure: optimized geometry

Cell: 4.3024 4.3024 4.3024 Å, 60.00 60.00 60.00°
Sites, in units of the cell vectors:
Zr  0.0000  0.0000  0.0000
Li  0.2500  0.2500  0.2500
Al  0.5000  0.5000  0.5000

Values from the calculation:
The density of states at the Fermi level is 0.6 states/eV per cell. The raw total energy is -4.554 eV/atom. Its energy above the lowest structure with this stoichiometry is 116 kJ/mol of formula units. The energy of formation from the pure elements comes out at 0.544 eV per formula unit. The magnetization comes out at 0.00 μB per formula unit.


# 10
Compound: LiZrAl
Source: Alexandria
Functional: GGA-PBE
Structure: optimized geometry

Cell: 5.5985 4.9497 5.3941 Å, 62.69 58.74 90.00°
Sites, in units of the cell vectors:
Zr  0.1188  0.3688  0.7624
Zr  0.8812  0.6312  0.2376
Li  0.5000  0.5000  0.0000
Li  0.5000  0.0000  0.0000
Al  0.5000  0.0000  0.5000
Al  0.0000  0.0000  0.5000

Values from the calculation:
The density of states at the Fermi level is 3.7 states/eV per cell. The raw total energy is -4.917 eV/atom. Its energy above the lowest structure with this stoichiometry is 11 kJ/mol of formula units. The energy of formation from the pure elements comes out at -0.547 eV per formula unit. The magnetization comes out at 0.62 μB per formula unit.


# 11
Compound: Li3ZrAl
Source: Alexandria
Functional: GGA-PBE
Structure: optimized geometry

Cell: 4.5639 4.5639 4.5639 Å, 90.00 90.00 90.00°
Sites, in units of the cell vectors:
Zr  0.5000  0.5000  0.5000
Al  0.0000  0.0000  0.0000
Li  0.0000  0.0000  0.5000
Li  0.5000  0.0000  0.0000
Li  0.0000  0.5000  0.0000

Values from the calculation:
The density of states at the Fermi level is 2.3 states/eV per cell. The raw total energy is -3.044 eV/atom. Its energy above the lowest structure with this stoichiometry is 0 kJ/mol of formula units. The energy of formation from the pure elements comes out at 2.814 eV per formula unit. The magnetization comes out at 0.00 μB per formula unit.


# 12
Compound: LuAl5
Source: Alexandria
Functional: GGA-PBE
Structure: optimized geometry

Cell: 4.1846 4.1964 6.5169 Å, 108.78 90.00 90.00°
Sites, in units of the cell vectors:
Lu  0.0000  0.0000  0.0000
Al  0.5000  0.1727  0.3454
Al  0.5000  0.5000  0.0000
Al  0.0000  0.3255  0.6510
Al  0.0000  0.6745  0.3490
Al  0.5000  0.8273  0.6546

Values from the calculation:
The density of states at the Fermi level is 1.6 states/eV per cell. The raw total energy is -4.093 eV/atom. The energy of formation from the pure elements comes out at -1.322 eV per formula unit. The magnetization comes out at 0.00 μB per formula unit.